First-principles (GGA-PBE) data for crystalline Ce2HoHf at its relaxed geometry, as listed in Alexandria via LeMat-Bulk.

```
Ce2HoHf
1.0
3.197 0.000 0.000
1.599 2.769 0.000
1.599 0.923 12.022
Ho Ce Hf
1 2 1
Direct
0.500 0.500 0.500
0.081 0.081 0.756
0.919 0.919 0.244
0.000 0.000 0.000
```

## Properties
The formation enthalpy at 0 K is 0.308 eV/atom. The value obtained for the calculated total energy is -6.29 eV/atom. As for the polymorph energy (0 for the lowest one): 172 meV/atom.